# BeCr2Ni, optimized geometry, DFT PBE
# density of states at the Fermi level = 3.49 states/eV/f.u.
# magnetization = 0.00 μB per cell
# crystal system = tetragonal
# ΔH_f (0 K) = 0.43 eV/atom
data_BeCr2Ni
_chemical_formula_sum 'Be4 Cr8 Ni4'
_cell_length_a 3.2102
_cell_length_b 3.2102
_cell_length_c 17.4708
_cell_angle_alpha 90.00
_cell_angle_beta 90.00
_cell_angle_gamma 90.00
_symmetry_space_group_name_H-M 'P 1'
_symmetry_Int_Tables_number 1
_symmetry_space_group_name_Hall 'P 1'
loop_
_atom_site_label
_atom_site_type_symbol
_atom_site_fract_x
_atom_site_fract_y
_atom_site_fract_z
Be1 Be 0.0000 0.0000 0.0000
Be2 Be 0.0000 0.5000 0.2500
Be3 Be 0.5000 0.0000 0.7500
Be4 Be 0.5000 0.5000 0.5000
Cr1 Cr 0.2339 0.2500 0.1250
Cr2 Cr 0.2500 0.7339 0.3750
Cr3 Cr 0.2500 0.7661 0.8750
Cr4 Cr 0.2661 0.2500 0.6250
Cr5 Cr 0.7339 0.7500 0.6250
Cr6 Cr 0.7500 0.2339 0.8750
Cr7 Cr 0.7500 0.2661 0.3750
Cr8 Cr 0.7661 0.7500 0.1250
Ni1 Ni 0.0000 0.0000 0.5000
Ni2 Ni 0.0000 0.5000 0.7500
Ni3 Ni 0.5000 0.0000 0.2500
Ni4 Ni 0.5000 0.5000 0.0000